A plane-wave DFT calculation with PBE with a Hubbard U was carried out for an optimized crystal structure of K8Li3Cr4O16.

The structure in CIF format:
```
data_K8Li3Cr4O16
_chemical_formula_sum 'K8 Li3 Cr4 O16'
_cell_length_a 5.751
_cell_length_b 8.129
_cell_length_c 11.221
_cell_angle_alpha 94.00
_cell_angle_beta 92.56
_cell_angle_gamma 90.07
_symmetry_space_group_name_H-M 'P 1'
_symmetry_Int_Tables_number 1
loop_
_symmetry_equiv_pos_as_xyz
'x,y,z'
loop_
_atom_site_label
_atom_site_type_symbol
_atom_site_fract_x
_atom_site_fract_y
_atom_site_fract_z
_atom_site_occupancy
K1 K 0.000 0.000 0.000 1
K2 K 0.001 0.493 0.815 1
K3 K 0.017 0.232 0.364 1
K4 K 0.029 0.710 0.493 1
K5 K 0.480 0.834 0.807 1
K6 K 0.509 0.275 0.975 1
K7 K 0.527 0.006 0.487 1
K8 K 0.529 0.511 0.298 1
Li1 Li 0.414 0.234 0.703 1
Li2 Li 0.571 0.724 0.083 1
Li3 Li 0.944 0.794 0.221 1
Cr1 Cr 0.059 0.521 0.108 1
Cr2 Cr 0.459 0.993 0.203 1
Cr3 Cr 0.558 0.491 0.601 1
Cr4 Cr 0.965 0.034 0.702 1
O1 O 0.021 0.024 0.552 1
O2 O 0.036 0.555 0.263 1
O3 O 0.161 0.163 0.787 1
O4 O 0.169 0.969 0.233 1
O5 O 0.349 0.547 0.076 1
O6 O 0.393 0.341 0.533 1
O7 O 0.484 0.959 0.048 1
O8 O 0.488 0.674 0.551 1
O9 O 0.517 0.486 0.748 1
O10 O 0.561 0.176 0.269 1
O11 O 0.625 0.835 0.263 1
O12 O 0.682 0.101 0.727 1
O13 O 0.834 0.451 0.573 1
O14 O 0.892 0.680 0.050 1
O15 O 0.961 0.339 0.040 1
O16 O 0.995 0.836 0.747 1
```

Calculated values
E_tot = -5.69 eV per atom